5
Lattice="5.3530 0.0000 0.0000 0.0000 5.3530 0.0000 0.0000 0.0000 5.3530" Properties=species:S:1:pos:R:3 comment="PBE Na3HfV, relaxed" n_ef_per_ev_cell=8.08 space_group="No. 221" volume_a3_per_fu=153 magmom_total_mub_per_fu=2.9 formation_enthalpy_0k_mev_per_atom=1639 pbc="T T T"
Na 0.0000 0.0000 2.6765
Na 0.0000 2.6765 0.0000
Na 2.6765 0.0000 0.0000
Hf 2.6765 2.6765 2.6765
V 0.0000 0.0000 0.0000